DFT (PBE) results for a geometry-optimized PmNdCdCo structure.

a = 7.3443 Å, b = 7.3443 Å, c = 7.3443 Å
α = 90.00°, β = 90.00°, γ = 90.00°
Positions (direct):
Pm (0.0000, 0.0000, 0.0000)
Pm (0.0000, 0.5000, 0.5000)
Pm (0.5000, 0.0000, 0.5000)
Pm (0.5000, 0.5000, 0.0000)
Nd (0.0000, 0.0000, 0.5000)
Nd (0.0000, 0.5000, 0.0000)
Nd (0.5000, 0.0000, 0.0000)
Nd (0.5000, 0.5000, 0.5000)
Cd (0.2500, 0.2500, 0.2500)
Cd (0.2500, 0.7500, 0.7500)
Cd (0.7500, 0.2500, 0.7500)
Cd (0.7500, 0.7500, 0.2500)
Co (0.2500, 0.2500, 0.7500)
Co (0.2500, 0.7500, 0.2500)
Co (0.7500, 0.2500, 0.2500)
Co (0.7500, 0.7500, 0.7500)

Results
D(E_F): 0.750 states/eV per atom
final energy: -4.440 eV per atom
energy of formation: -0.0548 eV/atom
space-group type: F-43m, No. 216
calculated volume: 24.8 A^3/atom